Record 1
An optimized crystal structure of DyMg2ZnAu4. Source: the Open Quantum Materials Database, functional GGA-PBE.

Values from the calculation:
**Symmetry**: No. 123
**Spin magnetization**: 0.00 Bohr magnetons per cell
**Energy**: -3.318 eV per atom

Cell lengths 4.7193, 4.7193, 6.8681 Å; angles 90.00, 90.00, 90.00 degrees
Positions (direct):
Dy: 0.0000 0.0000 0.0000
Mg: 0.0000 0.0000 0.5000
Mg: 0.5000 0.5000 0.0000
Zn: 0.5000 0.5000 0.5000
Au: 0.0000 0.5000 0.2692
Au: 0.0000 0.5000 0.7308
Au: 0.5000 0.0000 0.2692
Au: 0.5000 0.0000 0.7308

---

Record 2
An optimized crystal structure of Y2HoAl3NiAg2. Source: the Open Quantum Materials Database, functional GGA-PBE.

Values from the calculation:
**Symmetry**: No. 38
**Spin magnetization**: 0.00 Bohr magnetons per cell
**Energy**: -4.941 eV per atom

Cell lengths 4.1348, 7.1858, 7.1858 Å; angles 119.86, 90.00, 90.00 degrees
Positions (direct):
Y: 0.0000 0.1994 0.8006
Y: 0.0000 0.8006 0.1994
Ho: 0.0000 0.5966 0.5966
Al: 0.5000 0.1994 0.4220
Al: 0.5000 0.4220 0.1994
Al: 0.5000 0.9773 0.9773
Ni: 0.0000 0.2019 0.2019
Ag: 0.5000 0.5336 0.8640
Ag: 0.5000 0.8640 0.5336

---

Record 3
An optimized crystal structure of ZrW. Source: the Open Quantum Materials Database, functional GGA-PBE.

Values from the calculation:
**Symmetry**: No. 6
**ΔE_f**: 0.145 eV per atom
**Spin magnetization**: 0.04 Bohr magnetons per cell

Cell lengths 5.5439, 4.7327, 7.3338 Å; angles 90.00, 101.28, 90.00 degrees
Positions (direct):
Zr: 0.0000 0.0000 0.0000
Zr: 0.0942 0.5000 0.6935
Zr: 0.1945 0.0000 0.4037
Zr: 0.4263 0.0000 0.8148
Zr: 0.6794 0.5000 0.9052
W: 0.3043 0.5000 0.1288
W: 0.5216 0.5000 0.4910
W: 0.6027 0.0000 0.2146
W: 0.7765 0.0000 0.5815
W: 0.8906 0.5000 0.2964

---

Record 4
An optimized crystal structure of Li4AlAsAu2. Source: the Open Quantum Materials Database, functional GGA-PBE.

Values from the calculation:
**Symmetry**: No. 115
**Energy**: -3.375 eV per atom

Cell lengths 4.3016, 4.3016, 6.5442 Å; angles 90.00, 90.00, 90.00 degrees
Positions (direct):
Li: 0.0000 0.0000 0.0000
Li: 0.0000 0.5000 0.7398
Li: 0.5000 0.0000 0.2602
Li: 0.5000 0.5000 0.5000
Al: 0.5000 0.5000 0.0000
As: 0.0000 0.0000 0.5000
Au: 0.0000 0.5000 0.2268
Au: 0.5000 0.0000 0.7732